Record 1
First-principles (GGA-PBEsol) data for crystalline SiHgIO2 at its relaxed geometry, as listed in Alexandria via LeMat-Bulk.

- Raw total energy: -4.25 eV/atom

Cell and atoms, written as POSCAR:
```
SiHgIO2
1.0
-2.086 3.146 0.302
-3.157 -2.057 -0.376
-0.218 -0.673 5.509
O Hg Si I
2 1 1 1
Cartesian
-1.043 1.573 0.151 O
-1.579 -1.029 -0.188 O
-2.731 0.208 2.717 Hg
0.000 0.000 0.000 Si
-0.109 -0.336 2.754 I
```

Record 2
First-principles (GGA-PBEsol) data for crystalline CuSi2Te at its relaxed geometry, as listed in Alexandria via LeMat-Bulk.

- Raw total energy: -4.50 eV/atom

Cell and atoms, written as POSCAR:
```
CuSi2Te
1.0
5.597 0.000 0.000
0.000 5.597 0.000
-2.799 -2.799 5.725
Cu Te Si
2 2 4
Cartesian
2.799 0.000 2.862 Cu
2.799 2.799 0.000 Cu
0.000 0.000 0.000 Te
0.000 2.799 2.862 Te
1.785 4.198 1.431 Si
-1.399 -1.013 4.294 Si
1.399 1.013 4.294 Si
3.812 1.399 1.431 Si
```

Record 3
First-principles (GGA-PBEsol) data for crystalline NaGeAs2Br at its relaxed geometry, as listed in Alexandria via LeMat-Bulk.

- Raw total energy: -2.80 eV/atom

Cell and atoms, written as POSCAR:
```
NaGeAs2Br
1.0
-0.964 -4.320 2.303
1.649 -2.497 -3.993
4.701 -0.010 1.948
Ge As Br Na
1 2 1 1
Cartesian
2.693 -3.414 0.129 Ge
0.825 -1.248 -1.996 As
-0.482 -2.160 1.152 As
2.350 -0.005 0.974 Br
0.000 0.000 0.000 Na
```

Record 4
First-principles (GGA-PBEsol) data for crystalline Y2Ni at its relaxed geometry, as listed in Alexandria via LeMat-Bulk.

- Formation energy: -258 meV/atom

Cell and atoms, written as POSCAR:
```
Y2Ni
1.0
3.528 0.000 0.000
-1.764 6.063 0.000
0.000 0.000 6.519
Y Ni
4 2
Cartesian
0.000 2.611 3.482 Y
1.764 3.452 0.223 Y
0.000 5.800 4.593 Y
1.764 0.263 1.333 Y
0.000 1.409 6.055 Ni
1.764 4.655 2.796 Ni
```

Record 5
First-principles (GGA-PBEsol) data for crystalline CrInBi3 at its relaxed geometry, as listed in Alexandria via LeMat-Bulk.

- Formation energy: 446 meV/atom

Cell and atoms, written as POSCAR:
```
CrInBi3
1.0
5.218 0.000 0.000
0.000 5.218 0.000
0.000 0.000 5.218
Bi Cr In
3 1 1
Cartesian
0.000 0.000 2.609 Bi
0.000 2.609 0.000 Bi
2.609 0.000 0.000 Bi
0.000 0.000 0.000 Cr
2.609 2.609 2.609 In
```

Record 6
First-principles (GGA-PBEsol) data for crystalline CrTcNF2 at its relaxed geometry, as listed in Alexandria via LeMat-Bulk.

- Raw total energy: -7.03 eV/atom

Cell and atoms, written as POSCAR:
```
CrTcNF2
1.0
3.907 0.000 0.000
0.000 3.907 0.000
0.000 0.000 3.824
Cr Tc F N
1 1 2 1
Cartesian
0.000 0.000 0.000 Cr
1.953 1.953 1.912 Tc
0.000 1.953 0.000 F
1.953 0.000 0.000 F
0.000 0.000 1.912 N
```

Record 7
First-principles (GGA-PBEsol) data for crystalline ZrTaCr3 at its relaxed geometry, as listed in Alexandria via LeMat-Bulk.

- Formation energy: 1874 meV/atom

Cell and atoms, written as POSCAR:
```
ZrTaCr3
1.0
4.366 0.000 0.000
0.000 4.366 0.000
0.000 0.000 4.366
Cr Zr Ta
3 1 1
Cartesian
0.000 2.183 0.000 Cr
2.183 0.000 0.000 Cr
0.000 0.000 2.183 Cr
0.000 0.000 0.000 Zr
2.183 2.183 2.183 Ta
```

Record 8
First-principles (GGA-PBEsol) data for crystalline LiRh3 at its relaxed geometry, as listed in Alexandria via LeMat-Bulk.

- Formation energy: -40 meV/atom

Cell and atoms, written as POSCAR:
```
LiRh3
1.0
-0.310 -2.591 -0.075
4.597 -0.545 -0.179
-1.517 0.056 4.377
Rh Li
3 1
Cartesian
2.144 -1.568 -0.127 Rh
1.540 -0.245 2.099 Rh
-0.914 -1.268 2.151 Rh
0.000 0.000 0.000 Li
```

Ρ values, unit g/cm3, following the record order: 8.1; 4.6; 4.3; 5.6; 9.3; 5.7; 8.5; 10.0.
Magnetization values, unit Bohr magnetons per cell, following the record order: 0.0; 0.0; 0.0; 0.0; 1.8; 7.0; 2.9; 0.0.